An optimized crystal structure of Pm2Dy2Pb3. Source: Alexandria, functional PBE-GGA.

Unit cell a=4.419 b=8.573 c=6.465 alpha=107.12 beta=109.99 gamma=90.00
Atoms (fractional coordinates):
Pm 0.117 0.430 0.234
Pm 0.883 0.570 0.766
Dy 0.379 0.189 0.757
Dy 0.621 0.811 0.243
Pb 0.000 0.000 0.000
Pb 0.306 0.794 0.611
Pb 0.694 0.206 0.389

Results
The total magnetization comes out at 0.000 μB/cell. The total energy is -32.093 eV/cell. Its calculated volume is 31.23 A^3/atom.


An optimized crystal structure of Re3As. Source: Alexandria, functional PBE-GGA.

Unit cell a=2.927 b=4.545 c=4.587 alpha=90.00 beta=90.00 gamma=90.00
Atoms (fractional coordinates):
Re 0.500 0.000 0.543
Re 0.500 0.500 0.812
Re 0.000 0.500 0.308
As 0.000 0.000 0.004

Results
The value obtained for the relative energy among the computed polymorphs is 0.172 eV/atom. The total magnetization comes out at 0.000 μB/cell. Its calculated volume is 15.25 A^3/atom.


An optimized crystal structure of Tm6Tl3AsSe2. Source: Alexandria, functional PBE-GGA.

Unit cell a=6.748 b=6.748 c=8.213 alpha=97.86 beta=97.86 gamma=120.06
Atoms (fractional coordinates):
Tm 0.929 0.600 0.785
Tm 0.745 0.745 0.218
Tm 0.071 0.400 0.215
Tm 0.600 0.929 0.785
Tm 0.255 0.255 0.782
Tm 0.400 0.071 0.215
Tl 0.170 0.830 0.500
Tl 0.830 0.170 0.500
Tl 0.500 0.500 0.500
As 0.000 0.000 0.000
Se 0.334 0.666 0.000
Se 0.666 0.334 0.000

Results
The calculation puts the formation energy (no corrections) at -961.0 meV per atom. The total magnetization comes out at 0.000 μB/cell. Its calculated volume is 25.94 A^3/atom.